Record 1
The following is a DFT calculation (PBE-GGA) of Mn2SbRh after structural relaxation.

Summary:
* energy: -7.36 eV/atom
* symmetry: No. 99
* total magnetization: 3.93 μB per formula unit
* uncorrected formation energy: 89 meV/atom

a b c (Å): 3.145 3.145 5.987
angles (deg): 90.00 90.00 90.00
Atoms (fractional coordinates):
Mn (0.500, 0.500, 0.234)
Mn (0.000, 0.000, 0.013)
Rh (0.000, 0.000, 0.488)
Sb (0.500, 0.500, 0.766)


Record 2
The following is a DFT calculation (PBE-GGA) of Pm2AgSnSe5 after structural relaxation.

Summary:
* energy: -4.84 eV/atom
* symmetry: No. 36
* total magnetization: 0.00 μB per formula unit
* uncorrected formation energy: -1082 meV/atom

a b c (Å): 4.145 9.331 12.075
angles (deg): 90.00 90.00 102.83
Atoms (fractional coordinates):
Sn (0.409, 0.818, 0.488)
Sn (0.591, 0.182, 0.988)
Se (0.027, 0.053, 0.095)
Se (0.291, 0.581, 0.324)
Se (0.304, 0.609, 0.663)
Se (0.709, 0.419, 0.824)
Se (0.368, 0.736, 0.997)
Se (0.516, 0.033, 0.789)
Se (0.696, 0.391, 0.163)
Se (0.632, 0.264, 0.497)
Se (0.484, 0.967, 0.289)
Se (0.973, 0.947, 0.595)
Ag (0.777, 0.553, 0.482)
Ag (0.223, 0.447, 0.982)
Pm (0.128, 0.256, 0.682)
Pm (0.117, 0.235, 0.304)
Pm (0.883, 0.765, 0.804)
Pm (0.872, 0.744, 0.182)


Record 3
The following is a DFT calculation (PBE-GGA) of TmMgZrZn after structural relaxation.

Summary:
* energy: -4.09 eV/atom
* symmetry: No. 99
* ΔE_f: -11.84 kJ per mole of atoms
* total magnetization: 0.00 μB per formula unit

a b c (Å): 3.462 3.462 7.351
angles (deg): 90.00 90.00 90.00
Atoms (fractional coordinates):
Mg (0.000, 0.000, 0.087)
Tm (0.500, 0.500, 0.800)
Zr (0.500, 0.500, 0.341)
Zn (0.000, 0.000, 0.557)


Record 4
The following is a DFT calculation (PBE-GGA) of Dy2Ho6ErTm3 after structural relaxation.

Summary:
* energy: -4.53 eV/atom
* symmetry: No. 12
* ΔE_f: 2.06 kJ per mole of atoms
* total magnetization: 0.00 μB per formula unit

a b c (Å): 6.073 6.073 11.624
angles (deg): 94.99 94.99 119.91
Atoms (fractional coordinates):
Er (0.000, 0.000, 0.000)
Ho (0.916, 0.583, 0.749)
Ho (0.249, 0.249, 0.749)
Ho (0.417, 0.084, 0.251)
Ho (0.084, 0.417, 0.251)
Ho (0.583, 0.916, 0.749)
Ho (0.751, 0.751, 0.251)
Tm (0.500, 0.500, 0.500)
Tm (0.167, 0.833, 0.500)
Tm (0.833, 0.167, 0.500)
Dy (0.333, 0.667, 0.000)
Dy (0.667, 0.333, 0.000)


Record 5
The following is a DFT calculation (PBE-GGA) of Tb5Pu3N8 after structural relaxation.

Summary:
* energy: -9.80 eV/atom
* symmetry: No. 166
* total magnetization: 14.04 μB per formula unit
* uncorrected formation energy: -1507 meV/atom

a b c (Å): 6.981 6.981 6.958
angles (deg): 59.89 59.89 60.00
Atoms (fractional coordinates):
N (0.758, 0.250, 0.742)
N (0.750, 0.750, 0.258)
N (0.247, 0.247, 0.259)
N (0.250, 0.250, 0.742)
N (0.750, 0.242, 0.258)
N (0.250, 0.758, 0.742)
N (0.753, 0.753, 0.741)
N (0.242, 0.750, 0.258)
Pu (0.000, 0.000, 0.500)
Pu (0.000, 0.500, 0.500)
Pu (0.500, 0.000, 0.500)
Tb (0.000, 0.500, 0.000)
Tb (0.000, 0.000, 0.000)
Tb (0.500, 0.500, 0.000)
Tb (0.500, 0.000, 0.000)
Tb (0.500, 0.500, 0.500)


Record 6
The following is a DFT calculation (PBE-GGA) of PaSnMo after structural relaxation.

Summary:
* energy: -8.09 eV/atom
* symmetry: No. 107
* ΔE_f: 2.09 kJ per mole of atoms
* total magnetization: 0.00 μB per formula unit

a b c (Å): 3.344 3.344 6.309
angles (deg): 105.37 105.37 90.00
Atoms (fractional coordinates):
Mo (0.662, 0.662, 0.324)
Pa (0.314, 0.314, 0.627)
Sn (0.024, 0.024, 0.049)


Record 7
The following is a DFT calculation (PBE-GGA) of LaCr2Au after structural relaxation.

Summary:
* energy: -6.04 eV/atom
* symmetry: No. 123
* ΔE_f: 79.39 kJ per mole of atoms
* total magnetization: 0.00 μB per formula unit

a b c (Å): 2.836 2.836 8.849
angles (deg): 90.00 90.00 90.00
Atoms (fractional coordinates):
La (0.500, 0.500, 0.250)
Cr (0.000, 0.000, 0.534)
Cr (0.000, 0.000, 0.966)
Au (0.500, 0.500, 0.750)


Record 8
The following is a DFT calculation (PBE-GGA) of Sr2LiCa after structural relaxation.

Summary:
* energy: -1.73 eV/atom
* symmetry: No. 160
* ΔE_f: 8.85 kJ per mole of atoms
* total magnetization: 0.00 μB per formula unit

a b c (Å): 4.067 4.067 12.663
angles (deg): 80.76 80.76 60.00
Atoms (fractional coordinates):
Ca (0.500, 0.500, 0.500)
Sr (0.257, 0.257, 0.230)
Sr (0.077, 0.077, 0.770)
Li (0.666, 0.666, 0.001)


Record 9
The following is a DFT calculation (PBE-GGA) of Zn2CSCl after structural relaxation.

Summary:
* energy: -1.61 eV/atom
* symmetry: No. 123
* total magnetization: 1.55 μB per formula unit
* uncorrected formation energy: 1941 meV/atom

a b c (Å): 4.991 4.578 4.991
angles (deg): 90.00 90.00 90.00
Atoms (fractional coordinates):
C (0.500, 0.500, 0.500)
Zn (0.000, 0.000, 0.500)
Zn (0.500, 0.000, 0.000)
Cl (0.000, 0.000, 0.000)
S (0.000, 0.500, 0.000)


Record 10
The following is a DFT calculation (PBE-GGA) of Mo2PtCl after structural relaxation.

Summary:
* energy: -7.31 eV/atom
* symmetry: No. 99
* total magnetization: 0.00 μB per formula unit
* uncorrected formation energy: 79 meV/atom

a b c (Å): 2.860 2.860 8.781
angles (deg): 90.00 90.00 90.00
Atoms (fractional coordinates):
Mo (0.500, 0.500, 0.234)
Mo (0.000, 0.000, 0.006)
Cl (0.500, 0.500, 0.819)
Pt (0.000, 0.000, 0.441)


Record 11
The following is a DFT calculation (PBE-GGA) of Pm2Pr3NdY6 after structural relaxation.

Summary:
* energy: -5.61 eV/atom
* symmetry: No. 12
* ΔE_f: 0.80 kJ per mole of atoms
* total magnetization: 0.00 μB per formula unit

a b c (Å): 6.304 6.304 11.906
angles (deg): 95.05 95.05 120.00
Atoms (fractional coordinates):
Pm (0.333, 0.667, 0.000)
Pm (0.667, 0.333, 0.000)
Pr (0.167, 0.833, 0.500)
Pr (0.500, 0.500, 0.500)
Pr (0.833, 0.167, 0.500)
Y (0.749, 0.749, 0.249)
Y (0.917, 0.584, 0.751)
Y (0.251, 0.251, 0.751)
Y (0.083, 0.416, 0.249)
Y (0.416, 0.083, 0.249)
Y (0.584, 0.917, 0.751)
Nd (0.000, 0.000, 0.000)


Record 12
The following is a DFT calculation (PBE-GGA) of Tb2PmTm4 after structural relaxation.

Summary:
* energy: -4.48 eV/atom
* symmetry: No. 1
* ΔE_f: 7.48 kJ per mole of atoms
* total magnetization: 0.00 μB per formula unit

a b c (Å): 9.838 8.437 8.415
angles (deg): 138.38 97.57 95.29
Atoms (fractional coordinates):
Pm (0.263, 0.886, 0.833)
Pm (0.987, 0.317, 0.122)
Tm (0.848, 0.107, 0.336)
Tm (0.400, 0.249, 0.769)
Tm (0.047, 0.925, 0.510)
Tm (0.900, 0.708, 0.732)
Tm (0.203, 0.214, 0.380)
Tm (0.351, 0.590, 0.316)
Tm (0.547, 0.607, 0.694)
Tm (0.705, 0.891, 0.554)
Tb (0.625, 0.259, 0.134)
Tb (0.488, 0.938, 0.245)
Tb (0.761, 0.495, 0.938)
Tb (0.125, 0.562, 0.937)


Number 10 is which compound? Mo2PtCl